Entry 1:
An optimized crystal structure of ReIr2Se, computed with GGA-PBEsol.

Cell lengths 4.560, 4.560, 4.560 Å; angles 126.77, 126.77, 78.63 degrees
Sites, in units of the cell vectors:
Re: 0.000 0.000 0.000
Ir: 0.250 0.750 0.500
Ir: 0.500 0.500 0.000
Se: 0.750 0.250 0.500

electronic total energy	-34.68	eV per formula unit
DOS(E_F)	0.774	states/eV per atom
SG	I-4m2 (119)
calculated density	18.32	g cm⁻³



Entry 2:
An optimized crystal structure of Re2IrSe, computed with GGA-PBEsol.

Cell lengths 8.737, 8.737, 8.737 Å; angles 18.61, 18.61, 18.61 degrees
Sites, in units of the cell vectors:
Re: 0.000 0.000 0.000
Re: 0.249 0.249 0.249
Ir: 0.499 0.499 0.499
Se: 0.745 0.745 0.745

electronic total energy	-39.48	eV per formula unit
DOS(E_F)	0.589	states/eV per atom
SG	R3m (160)
calculated density	18.01	g cm⁻³



Entry 3:
An optimized crystal structure of ReIrSe2, computed with GGA-PBEsol.

Cell lengths 9.415, 9.415, 9.415 Å; angles 18.11, 18.11, 18.11 degrees
Sites, in units of the cell vectors:
Re: 0.000 0.000 0.000
Ir: 0.255 0.255 0.255
Se: 0.520 0.520 0.520
Se: 0.731 0.731 0.731

electronic total energy	-30.18	eV per formula unit
ΔE to the lowest computed polymorph	0.00	eV/f.u.
DOS(E_F)	0.927	states/eV per atom
SG	R3m (160)
calculated density	12.65	g cm⁻³



Entry 4:
An optimized crystal structure of ReIr2Se, computed with GGA-PBEsol.

Cell lengths 4.739, 4.739, 2.787 Å; angles 90.00, 90.00, 109.39 degrees
Sites, in units of the cell vectors:
Re: 0.000 0.000 0.000
Ir: 0.000 0.500 0.500
Ir: 0.500 0.000 0.500
Se: 0.500 0.500 0.000

electronic total energy	-35.12	eV per formula unit
DOS(E_F)	0.732	states/eV per atom
SG	Cmmm (65)
calculated density	18.27	g cm⁻³



Entry 5:
An optimized crystal structure of Re2IrSe, computed with GGA-PBEsol.

Cell lengths 4.825, 4.825, 2.827 Å; angles 91.23, 91.23, 114.73 degrees
Sites, in units of the cell vectors:
Re: 0.000 0.500 0.000
Re: 0.500 0.000 0.000
Ir: 0.000 0.000 0.500
Se: 0.500 0.500 0.500

electronic total energy	-37.77	eV per formula unit
DOS(E_F)	1.000	states/eV per atom
SG	C2/m (12)
calculated density	17.89	g cm⁻³



Entry 6:
An optimized crystal structure of Re2IrSe, computed with GGA-PBEsol.

Cell lengths 4.399, 4.399, 4.399 Å; angles 60.00, 60.00, 60.00 degrees
Sites, in units of the cell vectors:
Re: 0.000 0.000 0.000
Re: 0.250 0.250 0.250
Ir: 0.750 0.750 0.750
Se: 0.500 0.500 0.500

electronic total energy	-37.20	eV per formula unit
DOS(E_F)	1.333	states/eV per atom
SG	F-43m (216)
calculated density	17.75	g cm⁻³



Entry 7:
An optimized crystal structure of ReIrSe2, computed with GGA-PBEsol.

Cell lengths 5.097, 5.097, 5.097 Å; angles 136.53, 136.53, 63.16 degrees
Sites, in units of the cell vectors:
Re: 0.000 0.000 0.000
Ir: 0.250 0.750 0.500
Se: 0.500 0.500 0.000
Se: 0.750 0.250 0.500

electronic total energy	-27.69	eV per formula unit
ΔE to the lowest computed polymorph	2.49	eV/f.u.
DOS(E_F)	1.156	states/eV per atom
SG	I-4m2 (119)
calculated density	14.40	g cm⁻³



Entry 8:
An optimized crystal structure of Re2SiIr, computed with GGA-PBEsol.

Cell lengths 4.657, 4.657, 4.624 Å; angles 96.45, 96.45, 34.33 degrees
Sites, in units of the cell vectors:
Re: 0.000 0.000 0.000
Re: 0.746 0.746 0.205
Si: 0.240 0.240 0.712
Ir: 0.485 0.485 0.504

electronic total energy	-42.46	eV per formula unit
DOS(E_F)	0.598	states/eV per atom
SG	Cm (8)
calculated density	17.52	g cm⁻³



Entry 9:
An optimized crystal structure of ReSiIr, computed with GGA-PBEsol.

Cell lengths 4.103, 4.103, 4.103 Å; angles 60.00, 60.00, 60.00 degrees
Sites, in units of the cell vectors:
Re: 0.000 0.000 0.000
Si: 0.750 0.750 0.750
Ir: 0.250 0.250 0.250

electronic total energy	-28.41	eV per formula unit
DOS(E_F)	0.750	states/eV per atom
SG	F-43m (216)
calculated density	13.82	g cm⁻³



Entry 10:
An optimized crystal structure of Re2SiIr, computed with GGA-PBEsol.

Cell lengths 5.105, 5.105, 5.105 Å; angles 147.61, 129.08, 61.65 degrees
Sites, in units of the cell vectors:
Re: 0.000 0.000 0.000
Re: 0.727 0.227 0.500
Si: 0.225 0.725 0.500
Ir: 0.444 0.444 0.000

electronic total energy	-43.05	eV per formula unit
DOS(E_F)	0.657	states/eV per atom
SG	Imm2 (44)
calculated density	17.96	g cm⁻³



Entry 11:
An optimized crystal structure of Re2SiIr, computed with GGA-PBEsol.

Cell lengths 8.662, 8.662, 8.662 Å; angles 18.21, 18.21, 18.21 degrees
Sites, in units of the cell vectors:
Re: 0.247 0.247 0.247
Re: 0.753 0.753 0.753
Si: 0.500 0.500 0.500
Ir: 0.000 0.000 0.000

electronic total energy	-42.66	eV per formula unit
DOS(E_F)	0.584	states/eV per atom
SG	R-3m (166)
calculated density	17.75	g cm⁻³



Entry 12:
An optimized crystal structure of Re2SiIr, computed with GGA-PBEsol.

Cell lengths 3.982, 5.230, 5.230 Å; angles 30.65, 90.00, 90.00 degrees
Sites, in units of the cell vectors:
Re: 0.000 0.000 0.000
Re: 0.500 0.370 0.370
Si: 0.000 0.758 0.758
Ir: 0.500 0.632 0.632

electronic total energy	-43.12	eV per formula unit
DOS(E_F)	0.525	states/eV per atom
SG	Amm2 (38)
calculated density	17.73	g cm⁻³